[1]
Entry from the Alexandria database: a relaxed Pb3Se crystal (PBE).

Properties
Spin magnetization: 0.00 μB per formula unit
N(E_F): 7.604 states/eV per cell
Formation energy without anion corrections: 0.036 eV per atom
Raw total energy: -3.616 eV per atom

POSCAR file:
```
Pb3Se
1.0
-3.4269 5.1929 -0.0877
-4.0302 -2.7251 -3.8793
-3.2759 -2.0797 4.8642
Pb Se
6 2
Direct
0.5000 0.0000 0.2500
0.5000 0.0000 0.7500
0.7500 0.5000 0.0000
0.0000 0.2500 0.5000
0.0000 0.7500 0.5000
0.2500 0.5000 0.0000
0.0000 0.0000 0.0000
0.5000 0.5000 0.5000
```

***

[2]
Entry from the Alexandria database: a relaxed NaTbCd6 crystal (PBE).

Properties
Spin magnetization: 0.00 μB per formula unit
Calculated formation energy: -3.74 kcal/mol of atoms
N(E_F): 3.624 states/eV per cell
Raw total energy: -1.592 eV per atom

POSCAR file:
```
NaTbCd6
1.0
-4.2201 -1.1524 1.3302
1.4409 -0.2778 4.3305
-2.0335 8.8855 1.2467
Cd Tb Na
6 1 1
Direct
0.5000 0.0000 0.2528
0.0000 0.5000 0.7472
0.5000 0.5000 0.5000
0.5000 0.0000 0.7472
0.0000 0.5000 0.2528
0.5000 0.5000 0.0000
0.0000 0.0000 0.0000
0.0000 0.0000 0.5000
```

***

[3]
Entry from the Alexandria database: a relaxed Y3BiC crystal (PBE).

Properties
Spin magnetization: 0.38 μB per formula unit
Calculated formation energy: -12.13 kcal/mol of atoms
N(E_F): 11.875 states/eV per cell
Raw total energy: -7.025 eV per atom

POSCAR file:
```
Y3BiC
1.0
8.4027 -0.0184 -0.0001
2.7024 7.9562 -0.0001
0.0000 0.0000 3.7493
Y C Bi
6 2 2
Direct
0.4393 0.3636 0.0526
0.1682 0.0925 0.0526
0.8470 0.9559 0.0526
0.2137 0.7303 0.5526
0.8015 0.3181 0.5526
0.5759 0.6848 0.0526
0.0076 0.0242 0.5526
0.5076 0.5242 0.5526
0.5076 0.0242 0.5526
0.0076 0.5242 0.0526
```

***

[4]
Entry from the Alexandria database: a relaxed Cr2CuMo crystal (PBE).

Properties
Spin magnetization: 0.00 μB per formula unit
Calculated formation energy: 7.62 kcal/mol of atoms
N(E_F): 4.178 states/eV per cell
Raw total energy: -8.213 eV per atom

POSCAR file:
```
Cr2CuMo
1.0
-0.8566 -3.6317 -2.4280
3.8441 -2.2370 -0.1934
-2.1609 1.5942 3.5507
Cu Cr Mo
1 2 1
Direct
0.5000 0.5000 0.0000
0.0000 0.0000 0.0000
0.2500 0.7500 0.5000
0.7500 0.2500 0.5000
```

***

[5]
Entry from the Alexandria database: a relaxed ZnBiOF2 crystal (PBE).

Properties
Spin magnetization: 0.65 μB per formula unit
N(E_F): 2.102 states/eV per cell
Formation energy without anion corrections: -1.208 eV per atom
Raw total energy: -3.980 eV per atom

POSCAR file:
```
ZnBiOF2
1.0
-1.5653 1.9938 3.8599
-0.9133 -4.1622 1.7796
4.0666 -0.1533 1.7283
O F Zn Bi
1 2 1 1
Direct
0.0000 0.0000 0.5000
0.5000 0.0000 0.0000
0.0000 0.5000 0.0000
0.5000 0.5000 0.5000
0.0000 0.0000 0.0000
```

***

[6]
Entry from the Alexandria database: a relaxed Tb2PdAu crystal (PBE).

Properties
Spin magnetization: 0.00 μB per formula unit
Calculated formation energy: -16.20 kcal/mol of atoms
N(E_F): 2.884 states/eV per cell
Raw total energy: -5.135 eV per atom

POSCAR file:
```
Tb2PdAu
1.0
4.0149 0.0000 0.0000
2.0075 3.4770 0.0000
2.0075 1.1590 7.3128
Tb Pd Au
2 1 1
Direct
0.0850 0.0850 0.7451
0.2475 0.2475 0.2576
0.5011 0.5011 0.4968
0.6665 0.6665 0.0004
```

***

[7]
Entry from the Alexandria database: a relaxed Np2Si4Ni3Ru crystal (PBE).

Properties
Spin magnetization: 7.40 μB per formula unit
N(E_F): 22.674 states/eV per cell
Formation energy without anion corrections: -0.550 eV per atom
Raw total energy: -7.970 eV per atom

POSCAR file:
```
Np2Si4Ni3Ru
1.0
-3.7518 -1.1768 -0.7084
1.3306 -3.6252 -1.0247
-0.8173 -2.8718 9.0990
Si Ni Ru Np
4 3 1 2
Direct
0.5000 0.5000 0.0000
0.0000 0.5000 0.3631
0.5000 0.0000 0.6369
0.0000 0.0000 0.0000
0.5000 0.0000 0.8782
0.0000 0.0000 0.5000
0.0000 0.5000 0.1218
0.5000 0.5000 0.5000
0.5000 0.0000 0.2443
0.0000 0.5000 0.7557
```

***

[8]
Entry from the Alexandria database: a relaxed CaAsNO2 crystal (PBE).

Properties
Spin magnetization: 0.00 μB per formula unit
N(E_F): 2.110 states/eV per cell
Formation energy without anion corrections: -1.052 eV per atom
Raw total energy: -6.030 eV per atom

POSCAR file:
```
CaAsNO2
1.0
3.8730 0.0000 0.0000
0.0000 3.8730 0.0000
0.0000 0.0000 3.7247
Ca As O N
1 1 2 1
Direct
0.5000 0.5000 0.5000
0.0000 0.0000 0.0000
0.5000 0.0000 0.0000
0.0000 0.5000 0.0000
0.0000 0.0000 0.5000
```